Computed, not measured: a relaxed HoErZr2As2 crystal at the PBE level of DFT.

Output
- Total energy: -82.89 eV per cell
- Size of the total moment: 0.065 μB/cell

Lattice parameters (Å, degrees): 4.0745 4.0745 15.8276 90.00 90.00 90.00
Last column: nearest neighbours and their distance in Å.
Space group I4mm (No. 107)
Symmetry-distinct sites (fractional):
1 Ho 0.0000 0.0000 0.0000 x2  5 As 2.96-2.98
2 Er 0.0000 0.0000 0.3559 x2  5 As 2.96-2.98
3 Zr 0.0000 0.5000 0.1782 x4  4 Zr 2.88, 4 As 2.94
4 As 0.0000 0.0000 0.5442 x2  4 Zr 2.94, 4 Ho 2.96, 1 Er 2.98
5 As 0.0000 0.0000 0.8120 x2  4 Zr 2.94, 4 Er 2.96, 1 Ho 2.98


Computed, not measured: a relaxed LaHfNO crystal at the PBE level of DFT.

Output
- Total energy: -142.84 eV per cell
- Size of the total moment: 0.001 μB/cell

Lattice parameters (Å, degrees): 6.6864 7.6765 5.4927 90.00 90.00 90.00
Last column: nearest neighbours and their distance in Å.
Space group Pca2_1 (No. 29)
Symmetry-distinct sites (fractional):
1 La 0.0694 0.1332 0.0000 x4  3 N 2.38-2.59
2 Hf 0.1105 0.6459 0.9890 x4  1 N 1.97, 2 O 2.12-2.16
3 N 0.0766 0.1562 0.4695 x4  1 Hf 1.97
4 O 0.0878 0.5473 0.6227 x4  3 Hf 2.12-2.28


Computed, not measured: a relaxed TmZrGe crystal at the PBE level of DFT.

Output
- Total energy: -75.13 eV per cell
- Size of the total moment: 0.002 μB/cell

Lattice parameters (Å, degrees): 6.6072 6.6072 6.6072 90.00 90.00 90.00
Last column: nearest neighbours and their distance in Å.
Space group F-43m (No. 216)
Symmetry-distinct sites (fractional):
1 Tm 0.0000 0.0000 0.0000 x4  4 Ge 2.86
2 Zr 0.0000 0.0000 0.5000 x4  4 Ge 2.86
3 Ge 0.2500 0.2500 0.2500 x4  4 Zr 2.86, 4 Tm 2.86


Computed, not measured: a relaxed BaCdAs2Pb crystal at the PBE level of DFT.

Output
- Total energy: -74.08 eV per cell

Lattice parameters (Å, degrees): 4.6216 17.6632 7.3758 90.00 90.00 90.00
Last column: nearest neighbours and their distance in Å.
Space group Cmc2_1 (No. 36)
Symmetry-distinct sites (fractional):
1 Ba 0.0000 0.1923 0.0000 x4  5 As 3.32-3.47
2 Cd 0.0000 0.4004 0.8616 x4  4 As 2.77-2.89
3 As 0.0000 0.1735 0.4685 x4  2 Cd 2.77, 1 Pb 3.00
4 As 0.0000 0.4455 0.4938 x4  2 Cd 2.83-2.89, 2 Pb 3.05
5 Pb 0.0000 0.0280 0.6778 x4  5 As 3.00-3.32